ZrSe2 after structural relaxation. Source: the Alexandria database, functional PBE.

Summary:
For the uncorrected formation energy, the calculation gives -1215 meV/atom. The calculation puts the density at 6.32 g/cm3.

a = 5.554 Å, b = 5.554 Å, c = 7.921 Å
α = 61.23°, β = 61.23°, γ = 38.52°
Element x y z (fractional)
Zr  0.841  0.841  0.205
Zr  0.159  0.159  0.795
Se  0.410  0.410  0.894
Se  0.150  0.150  0.451
Se  0.850  0.850  0.549
Se  0.590  0.590  0.106

=====

ZrSe3 after structural relaxation. Source: the Alexandria database, functional PBE.

Summary:
For the uncorrected formation energy, the calculation gives -494 meV/atom. The calculation puts the density at 5.80 g/cm3.

a = 3.924 Å, b = 3.924 Å, c = 7.041 Å
α = 90.00°, β = 90.00°, γ = 120.00°
Element x y z (fractional)
Se  0.000  0.000  0.966
Se  0.000  0.000  0.534
Se  0.667  0.333  0.250
Zr  0.667  0.333  0.750

=====

Zr5Se after structural relaxation. Source: the Alexandria database, functional PBE.

Summary:
For the uncorrected formation energy, the calculation gives 279 meV/atom. The calculation puts the density at 6.34 g/cm3.

a = 5.829 Å, b = 5.829 Å, c = 5.829 Å
α = 60.00°, β = 60.00°, γ = 60.00°
Element x y z (fractional)
Zr  0.250  0.250  0.250
Zr  0.622  0.622  0.622
Zr  0.622  0.622  0.134
Zr  0.134  0.622  0.622
Zr  0.622  0.134  0.622
Se  0.000  0.000  0.000

=====

ZrSe after structural relaxation. Source: the Alexandria database, functional PBE.

Summary:
For the uncorrected formation energy, the calculation gives -721 meV/atom. The calculation puts the density at 3.84 g/cm3.

a = 8.381 Å, b = 8.381 Å, c = 8.381 Å
α = 90.00°, β = 90.00°, γ = 90.00°
Element x y z (fractional)
Zr  0.370  0.370  0.370
Zr  0.370  0.630  0.630
Zr  0.630  0.370  0.630
Zr  0.630  0.630  0.370
Zr  0.870  0.870  0.870
Zr  0.870  0.130  0.130
Zr  0.130  0.870  0.130
Zr  0.130  0.130  0.870
Se  0.181  0.181  0.181
Se  0.181  0.819  0.819
Se  0.819  0.181  0.819
Se  0.819  0.819  0.181
Se  0.681  0.681  0.681
Se  0.681  0.319  0.319
Se  0.319  0.681  0.319
Se  0.319  0.319  0.681

=====

ZrSe after structural relaxation. Source: the Alexandria database, functional PBE.

Summary:
For the uncorrected formation energy, the calculation gives -894 meV/atom. The calculation puts the density at 4.50 g/cm3.

a = 8.065 Å, b = 8.065 Å, c = 8.065 Å
α = 31.28°, β = 31.28°, γ = 31.28°
Element x y z (fractional)
Se  0.087  0.087  0.087
Se  0.913  0.913  0.913
Zr  0.208  0.208  0.208
Zr  0.792  0.792  0.792

=====

Zr3Se after structural relaxation. Source: the Alexandria database, functional PBE.

Summary:
For the uncorrected formation energy, the calculation gives -688 meV/atom. Its relative energy among the computed polymorphs is 12 meV/atom. The calculation puts the density at 7.00 g/cm3.

a = 5.690 Å, b = 6.730 Å, c = 8.739 Å
α = 90.00°, β = 90.00°, γ = 90.00°
Element x y z (fractional)
Se  0.594  0.896  0.750
Se  0.094  0.604  0.250
Se  0.906  0.396  0.750
Se  0.406  0.104  0.250
Zr  0.123  0.021  0.750
Zr  0.623  0.479  0.250
Zr  0.377  0.521  0.750
Zr  0.877  0.979  0.250
Zr  0.629  0.200  0.960
Zr  0.129  0.300  0.040
Zr  0.871  0.700  0.540
Zr  0.371  0.800  0.460
Zr  0.371  0.800  0.040
Zr  0.871  0.700  0.960
Zr  0.129  0.300  0.460
Zr  0.629  0.200  0.540

=====

ZrSe3 after structural relaxation. Source: the Alexandria database, functional PBE.

Summary:
For the uncorrected formation energy, the calculation gives -373 meV/atom. The calculation puts the density at 6.38 g/cm3.

a = 5.188 Å, b = 5.188 Å, c = 5.188 Å
α = 113.91°, β = 113.91°, γ = 113.91°
Element x y z (fractional)
Se  0.000  0.000  0.000
Se  0.500  0.000  0.500
Se  0.500  0.500  0.000
Zr  0.000  0.500  0.500

=====

Zr3Se2 after structural relaxation. Source: the Alexandria database, functional PBE.

Summary:
For the uncorrected formation energy, the calculation gives -783 meV/atom. Its relative energy among the computed polymorphs is 0 meV/atom. The calculation puts the density at 7.08 g/cm3.

a = 8.322 Å, b = 7.621 Å, c = 5.591 Å
α = 76.37°, β = 62.87°, γ = 40.76°
Element x y z (fractional)
Zr  0.490  0.726  0.371
Zr  0.414  0.371  0.726
Zr  0.524  0.760  0.836
Zr  0.879  0.836  0.760
Zr  0.909  0.091  0.091
Zr  0.159  0.341  0.341
Se  0.875  0.226  0.587
Se  0.312  0.587  0.226
Se  0.024  0.375  0.938
Se  0.663  0.938  0.375

=====

Zr2Se3 after structural relaxation. Source: the Alexandria database, functional PBE.

Summary:
For the uncorrected formation energy, the calculation gives -1362 meV/atom. The calculation puts the density at 5.95 g/cm3.

a = 6.705 Å, b = 6.526 Å, c = 6.528 Å
α = 59.99°, β = 71.00°, γ = 80.63°
Element x y z (fractional)
Se  0.263  0.990  0.255
Se  0.263  0.674  0.913
Se  0.255  0.332  0.574
Se  0.733  0.674  0.413
Se  0.742  0.332  0.094
Se  0.733  0.990  0.755
Zr  0.998  0.990  0.005
Zr  0.998  0.673  0.664
Zr  0.998  0.332  0.334
Zr  0.498  0.332  0.834

=====

ZrSe2 after structural relaxation. Source: the Alexandria database, functional PBE.

Summary:
For the uncorrected formation energy, the calculation gives -1045 meV/atom. The calculation puts the density at 7.01 g/cm3.

a = 5.237 Å, b = 5.237 Å, c = 5.237 Å
α = 139.92°, β = 139.92°, γ = 57.97°
Element x y z (fractional)
Se  0.345  0.345  0.000
Se  0.655  0.655  0.000
Zr  0.000  0.000  0.000

=====

ZrSe after structural relaxation. Source: the Alexandria database, functional PBE.

Summary:
For the uncorrected formation energy, the calculation gives -1095 meV/atom. The calculation puts the density at 6.16 g/cm3.

a = 5.178 Å, b = 7.207 Å, c = 6.664 Å
α = 62.83°, β = 57.24°, γ = 68.14°
Element x y z (fractional)
Zr  0.817  0.948  0.793
Zr  0.183  0.052  0.207
Zr  0.324  0.214  0.574
Zr  0.676  0.786  0.426
Se  0.147  0.649  0.563
Se  0.296  0.805  0.926
Se  0.704  0.195  0.074
Se  0.853  0.351  0.437

=====

ZrSe3 after structural relaxation. Source: the Alexandria database, functional PBE.

Summary:
For the uncorrected formation energy, the calculation gives -572 meV/atom. The calculation puts the density at 5.40 g/cm3.

a = 6.679 Å, b = 6.679 Å, c = 6.679 Å
α = 148.98°, β = 138.69°, γ = 52.55°
Element x y z (fractional)
Se  0.081  0.081  0.000
Se  0.750  0.250  0.500
Se  0.419  0.419  0.000
Zr  0.250  0.750  0.500